This record from Alexandria via LeMat-Bulk describes ZnCu2RuRh after structural relaxation. The functional is GGA-PBE.

Calculated values
- E_tot: -20.4 eV for the cell shown
- Size of the total moment: 2.86 μB/cell
- Formation enthalpy at 0 K: 1143 meV per atom

a = 4.3005 Å, b = 4.3005 Å, c = 4.5732 Å
α = 90.00°, β = 90.00°, γ = 90.00°
Last column: nearest neighbours and their distance in Å.
Fractional positions:
Zn: 0.0000 0.0000 0.0000  4 Cu 2.15, 2 Rh 2.29
Cu: 0.0000 0.5000 0.0000  2 Zn 2.15
Cu: 0.5000 0.0000 0.0000  2 Zn 2.15
Ru: 0.5000 0.5000 0.5000  4 Rh 3.04, 8 Cu 3.14
Rh: 0.0000 0.0000 0.5000  2 Zn 2.29